The following is a DFT calculation (PBE) of a relaxed structure of NaRh2Se4.

```
NaRh2Se4
1.0
1.880 1.085 11.799
-1.880 1.085 11.799
0.000 -2.170 11.799
Na Rh Se
1 2 4
Direct
0.000 0.000 0.000 Na
0.429 0.429 0.429 Rh
0.571 0.571 0.571 Rh
0.131 0.131 0.131 Se
0.275 0.275 0.275 Se
0.725 0.725 0.725 Se
0.869 0.869 0.869 Se
```

Computed properties:
Crystal system: trigonal
Raw formation energy (kcal/mol of atoms): -12.4
Theoretical density (Mg/m³): 6.26
Space-group type: R-3m (166)

---

The following is a DFT calculation (PBE) of a relaxed structure of LaTb2Pm.

```
LaTb2Pm
1.0
5.162 0.000 0.000
0.000 5.162 0.000
0.000 0.000 10.151
La Tb Pm
2 4 2
Direct
0.000 0.000 0.000 La
0.500 0.500 0.500 La
0.000 0.500 0.250 Tb
0.000 0.500 0.750 Tb
0.500 0.000 0.250 Tb
0.500 0.000 0.750 Tb
0.000 0.000 0.500 Pm
0.500 0.500 0.000 Pm
```

Computed properties:
Crystal system: tetragonal
Energy above the most stable polymorph in this dataset (eV per atom): 0.012
E_form (eV/atom): 0.024
Theoretical density (Mg/m³): 7.39
Space-group type: I4/mmm (139)

---

The following is a DFT calculation (PBE) of a relaxed structure of GePtS.

```
GePtS
1.0
3.437 0.000 0.000
-0.008 3.946 0.000
-0.001 -0.994 4.423
Ge Pt S
1 1 1
Direct
0.000 0.000 0.000 Ge
0.500 0.479 0.883 Pt
0.500 0.294 0.363 S
```

Computed properties:
Crystal system: triclinic
Raw formation energy (kcal/mol of atoms): -3.8
Theoretical density (Mg/m³): 8.30
Space-group type: P1 (1)

---

The following is a DFT calculation (PBE) of a relaxed structure of Tm6Si2Te3Pb.

```
Tm6Si2Te3Pb
1.0
9.331 -2.104 0.000
9.331 2.104 0.000
-2.065 0.000 8.388
Tm Si Te Pb
6 2 3 1
Direct
0.012 0.012 0.254 Tm
0.324 0.324 0.435 Tm
0.332 0.332 0.887 Tm
0.668 0.668 0.113 Tm
0.676 0.676 0.565 Tm
0.988 0.988 0.746 Tm
0.168 0.168 0.337 Si
0.832 0.832 0.663 Si
0.164 0.164 0.833 Te
0.500 0.500 0.500 Te
0.836 0.836 0.167 Te
0.500 0.500 0.000 Pb
```

Computed properties:
Crystal system: monoclinic
Raw formation energy (kcal/mol of atoms): -22.6
Theoretical density (Mg/m³): 8.37
Space-group type: C2/m (12)

---

The following is a DFT calculation (PBE) of a relaxed structure of CaPr4Au4.

```
CaPr4Au4
1.0
9.539 0.000 0.000
0.000 9.539 0.000
0.000 0.000 6.092
Ca Pr Au
2 8 8
Direct
0.250 0.250 0.250 Ca
0.750 0.750 0.750 Ca
0.063 0.660 0.162 Pr
0.160 0.937 0.662 Pr
0.340 0.563 0.662 Pr
0.437 0.840 0.162 Pr
0.563 0.160 0.838 Pr
0.660 0.437 0.338 Pr
0.840 0.063 0.338 Pr
0.937 0.340 0.838 Pr
0.031 0.632 0.658 Au
0.132 0.969 0.158 Au
0.368 0.531 0.158 Au
0.469 0.868 0.658 Au
0.531 0.132 0.342 Au
0.632 0.469 0.842 Au
0.868 0.031 0.842 Au
0.969 0.368 0.342 Au
```

Computed properties:
Crystal system: tetragonal
E_form (eV/atom): -0.578
Theoretical density (Mg/m³): 8.34
Space-group type: P4_2/n (86)

---

The following is a DFT calculation (PBE) of a relaxed structure of HfZnHg2.

```
HfZnHg2
1.0
7.599 0.000 0.000
0.000 7.599 0.000
0.000 0.000 6.017
Hf Zn Hg
4 4 8
Direct
0.000 0.000 0.000 Hf
0.000 0.500 0.250 Hf
0.500 0.000 0.750 Hf
0.500 0.500 0.500 Hf
0.000 0.000 0.500 Zn
0.000 0.500 0.750 Zn
0.500 0.000 0.250 Zn
0.500 0.500 0.000 Zn
0.229 0.750 0.625 Hg
0.250 0.229 0.375 Hg
0.250 0.271 0.875 Hg
0.271 0.750 0.125 Hg
0.729 0.250 0.125 Hg
0.750 0.729 0.875 Hg
0.750 0.771 0.375 Hg
0.771 0.250 0.625 Hg
```

Computed properties:
Crystal system: tetragonal
E_form (eV/atom): 0.211
Theoretical density (Mg/m³): 12.33
Space-group type: I-42d (122)

---

The following is a DFT calculation (PBE) of a relaxed structure of Ce6GeBi.

```
Ce6GeBi
1.0
4.723 0.000 0.000
0.000 4.723 0.000
0.000 0.000 9.426
Ce Ge Bi
6 1 1
Direct
0.000 0.000 0.000 Ce
0.000 0.000 0.500 Ce
0.000 0.500 0.234 Ce
0.000 0.500 0.766 Ce
0.500 0.000 0.234 Ce
0.500 0.000 0.766 Ce
0.500 0.500 0.000 Ge
0.500 0.500 0.500 Bi
```

Computed properties:
Crystal system: tetragonal
E_form (eV/atom): -0.406
Theoretical density (Mg/m³): 8.86
Space-group type: P4/mmm (123)

---

The following is a DFT calculation (PBE) of a relaxed structure of Ca2CoNi.

```
Ca2CoNi
1.0
4.338 0.000 0.000
0.000 4.065 0.000
-2.163 0.000 5.082
Ca Co Ni
2 1 1
Direct
0.000 0.000 0.000 Ca
0.288 0.500 0.577 Ca
0.687 0.000 0.375 Co
0.599 0.500 0.197 Ni
```

Computed properties:
Crystal system: monoclinic
Energy above the most stable polymorph in this dataset (eV per atom): 0.000
E_form (eV/atom): 0.032
Theoretical density (Mg/m³): 3.66
Space-group type: Pm (6)